1.
# K2Ga2F7

K2Ga2F7 after structural relaxation (PBE-GGA, the Alexandria database).

Results
- Space group: C2/m, No. 12
- Formation energy (no corrections): -2.519 eV/atom
- Crystal system: monoclinic

```
K2Ga2F7
1.0
4.155 -4.394 0.000
4.155 4.394 0.000
-0.618 0.000 5.735
K Ga F
2 2 7
Direct
0.223 0.777 0.000 K
0.777 0.223 0.000 K
0.265 0.265 0.545 Ga
0.735 0.735 0.455 Ga
0.075 0.405 0.737 F
0.113 0.113 0.288 F
0.405 0.075 0.737 F
0.500 0.500 0.500 F
0.595 0.925 0.263 F
0.887 0.887 0.712 F
0.925 0.595 0.263 F
```

2.
# Np2CdSn

Np2CdSn after structural relaxation (PBE-GGA, the Alexandria database).

Results
- Formation energy from the elements: 192 meV/atom
- Space group: P4/mmm, No. 123
- Crystal system: tetragonal

```
Np2CdSn
1.0
5.893 0.000 0.000
0.000 5.893 0.000
0.000 0.000 2.890
Np Cd Sn
2 1 1
Direct
0.000 0.500 0.000 Np
0.500 0.000 0.000 Np
0.000 0.000 0.500 Cd
0.500 0.500 0.500 Sn
```

3.
# AlGa2Fe6

AlGa2Fe6 after structural relaxation (PBE-GGA, the Alexandria database).

Results
- Formation energy from the elements: -134 meV/atom
- Space group: C2/m, No. 12
- Crystal system: monoclinic

```
AlGa2Fe6
1.0
2.248 -6.549 0.000
2.248 6.549 0.000
-2.009 0.000 3.830
Al Ga Fe
1 2 6
Direct
0.000 0.000 0.000 Al
0.161 0.839 0.500 Ga
0.839 0.161 0.500 Ga
0.174 0.509 0.166 Fe
0.353 0.353 0.675 Fe
0.491 0.826 0.834 Fe
0.509 0.174 0.166 Fe
0.647 0.647 0.325 Fe
0.826 0.491 0.834 Fe
```

Computed values of E_tot (unit: eV/atom) for the preceding records, in sequence: -4.459, -7.508, -6.864.